No. 1
Entry from the Alexandria database: crystalline SrPa4Re3N12 at its relaxed geometry (PBE-GGA).

a = 7.158 Å, b = 7.158 Å, c = 7.158 Å
α = 109.47°, β = 109.47°, γ = 109.47°
Element x y z (fractional)
Sr 0.000 0.000 0.000
Pa 0.500 0.000 0.000
Pa 0.500 0.500 0.500
Pa 0.000 0.500 0.000
Pa 0.000 0.000 0.500
Re 0.000 0.500 0.500
Re 0.500 0.500 0.000
Re 0.500 0.000 0.500
N 0.323 0.840 0.163
N 0.677 0.160 0.837
N 0.677 0.840 0.517
N 0.837 0.677 0.160
N 0.840 0.163 0.323
N 0.160 0.483 0.323
N 0.483 0.323 0.160
N 0.160 0.837 0.677
N 0.323 0.160 0.483
N 0.163 0.323 0.840
N 0.840 0.517 0.677
N 0.517 0.677 0.840

Results
DOS at the Fermi energy ... 0.67 states/eV/atom
ΔE_f (raw) ... -0.637 eV per atom

=====

No. 2
Entry from the Alexandria database: crystalline Sr3Pa3ReN8 at its relaxed geometry (PBE-GGA).

a = 6.955 Å, b = 6.956 Å, c = 7.199 Å
α = 118.89°, β = 90.00°, γ = 120.00°
Element x y z (fractional)
Sr 0.000 0.000 0.000
Sr 0.000 0.500 0.000
Sr 0.500 0.500 0.000
Pa 0.500 0.000 0.500
Pa 0.500 0.500 0.500
Pa 0.000 0.500 0.500
Re 0.000 0.000 0.500
N 0.263 0.527 0.290
N 0.737 0.473 0.710
N 0.778 0.555 0.319
N 0.222 0.445 0.681
N 0.778 0.041 0.319
N 0.222 0.959 0.681
N 0.263 0.041 0.319
N 0.737 0.959 0.681

Results
DOS at the Fermi energy ... 0.21 states/eV/atom
ΔE_f (raw) ... -1.066 eV per atom

=====

No. 3
Entry from the Alexandria database: crystalline Pa2TaReN6 at its relaxed geometry (PBE-GGA).

a = 4.860 Å, b = 5.363 Å, c = 5.363 Å
α = 90.00°, β = 90.00°, γ = 90.00°
Element x y z (fractional)
Pa 0.992 0.500 0.000
Pa 0.992 0.000 0.500
Ta 0.579 0.500 0.500
Re 0.569 0.000 0.000
N 0.734 0.248 0.248
N 0.734 0.248 0.752
N 0.184 0.500 0.500
N 0.196 0.000 0.000
N 0.734 0.752 0.752
N 0.734 0.752 0.248

Results
DOS at the Fermi energy ... 0.91 states/eV/atom
ΔE_f (raw) ... -0.876 eV per atom

=====

Repeat the second record exactly.
Entry from the Alexandria database: crystalline Sr3Pa3ReN8 at its relaxed geometry (PBE-GGA).

a = 6.955 Å, b = 6.956 Å, c = 7.199 Å
α = 118.89°, β = 90.00°, γ = 120.00°
Element x y z (fractional)
Sr 0.000 0.000 0.000
Sr 0.000 0.500 0.000
Sr 0.500 0.500 0.000
Pa 0.500 0.000 0.500
Pa 0.500 0.500 0.500
Pa 0.000 0.500 0.500
Re 0.000 0.000 0.500
N 0.263 0.527 0.290
N 0.737 0.473 0.710
N 0.778 0.555 0.319
N 0.222 0.445 0.681
N 0.778 0.041 0.319
N 0.222 0.959 0.681
N 0.263 0.041 0.319
N 0.737 0.959 0.681

Results
DOS at the Fermi energy ... 0.21 states/eV/atom
ΔE_f (raw) ... -1.066 eV per atom